Record 1
K2FeI | Alexandria via LeMat-Bulk | meta-GGA SCAN | single point on PBEsol structure; uncorrected formation energy = 0.33 eV/f.u.; mass density = 3.03 g/cm3; uncorrected energy = -17.799 eV per atom
1.0
-2.5141 -3.5726 -3.9187
3.2958 -2.7494 -4.0023
0.8268 -5.7988 0.3618
I K Fe
1 2 1
Direct
0.5000 0.5000 0.5000 I
0.7500 0.7500 0.7500 K
0.2500 0.2500 0.2500 K
0.0000 0.0000 0.0000 Fe

Record 2
KFe3I | Alexandria via LeMat-Bulk | meta-GGA SCAN | single point on PBEsol structure; uncorrected formation energy = 11.85 eV/f.u.; mass density = 5.54 g/cm3; uncorrected energy = -17.522 eV per atom
1.0
-0.6130 4.4539 1.1553
-1.3044 -1.2859 4.2653
4.4126 0.2386 1.4214
K Fe I
1 3 1
Direct
0.0000 0.0000 0.0000 K
0.0000 0.0000 0.5000 Fe
0.5000 0.0000 0.0000 Fe
0.0000 0.5000 0.0000 Fe
0.5000 0.5000 0.5000 I

Record 3
K2FeI4 | Alexandria via LeMat-Bulk | meta-GGA SCAN | single point on PBEsol structure; uncorrected formation energy = -7.39 eV/f.u.; mass density = 3.87 g/cm3; uncorrected energy = -27.021 eV per atom
1.0
-1.0491 -6.4071 -3.9672
-1.1569 -3.9998 6.7658
-8.5078 4.3429 1.1127
I Fe K
8 2 4
Direct
0.0090 0.0041 0.7631 I
0.9910 0.9959 0.2369 I
0.4130 0.2500 0.1244 I
0.9910 0.5041 0.2369 I
0.0090 0.4959 0.7631 I
0.5870 0.7500 0.8756 I
0.3950 0.2500 0.5751 I
0.6050 0.7500 0.4249 I
0.7847 0.7500 0.7021 Fe
0.2153 0.2500 0.2979 Fe
0.2631 0.7500 0.0706 K
0.7803 0.2500 0.4494 K
0.7369 0.2500 0.9294 K
0.2197 0.7500 0.5506 K

Record 4
KFeIO2 | Alexandria via LeMat-Bulk | meta-GGA SCAN | single point on PBEsol structure; uncorrected formation energy = -3.40 eV/f.u.; mass density = 4.78 g/cm3; uncorrected energy = -15.813 eV per atom
1.0
4.0668 0.0000 0.0000
0.0000 4.0668 0.0000
0.0000 0.0000 5.3289
K Fe I O
1 1 1 2
Direct
0.5000 0.5000 0.5000 K
0.0000 0.0000 0.0000 Fe
0.0000 0.0000 0.5000 I
0.0000 0.5000 0.0000 O
0.5000 0.0000 0.0000 O

Record 5
KScFe2I | Alexandria via LeMat-Bulk | meta-GGA SCAN | single point on PBEsol structure; uncorrected formation energy = 4.73 eV/f.u.; mass density = 3.51 g/cm3; uncorrected energy = -18.168 eV per atom
1.0
4.6174 0.0000 0.0000
0.0000 4.6174 0.0000
0.0000 0.0000 7.1500
K Sc Fe I
1 1 2 1
Direct
0.0000 0.0000 0.5000 K
0.0000 0.0000 0.0000 Sc
0.0000 0.5000 0.0000 Fe
0.5000 0.0000 0.0000 Fe
0.5000 0.5000 0.5000 I

Record 6
LiFeI2 | Alexandria via LeMat-Bulk | meta-GGA SCAN | single point on PBEsol structure; uncorrected formation energy = -1.92 eV/f.u.; mass density = 4.54 g/cm3; uncorrected energy = -23.982 eV per atom
1.0
-0.4829 1.6953 5.8876
-5.9463 1.2932 -0.8600
1.7427 -7.2421 -0.9794
Fe I Li
2 4 2
Direct
0.0000 0.0000 0.0000 Fe
0.2500 0.7500 0.5000 Fe
0.3549 0.8750 0.2500 I
0.8951 0.3750 0.2500 I
0.1250 0.1049 0.7500 I
0.6250 0.6451 0.7500 I
0.7500 0.2500 0.5000 Li
0.5000 0.5000 0.0000 Li